# 1
# LiPtAu

A relaxed LiPtAu crystal (GGA-PBE, Alexandria).

Results
SG = I4/mmm
Uncorrected energy = -0.146 hartree per atom
M_tot = 0.0 μB/cell

a = 7.2126 Å, b = 7.2126 Å, c = 7.2126 Å
α = 95.41°, β = 95.41°, γ = 144.24°
Closest atoms and distances in Å follow each position.
Element x y z (fractional)
Li 0.1759 0.1759 0.3519  2 Pt 2.52, 4 Au 2.81
Li 0.1759 0.8241 0.0000  2 Pt 2.52, 4 Au 2.81
Li 0.8241 0.1759 0.0000  2 Pt 2.52, 4 Au 2.81
Li 0.8241 0.8241 0.6481  2 Pt 2.52, 4 Au 2.81
Pt 0.0000 0.3674 0.3674  2 Li 2.52, 1 Pt 2.58, 2 Au 2.71
Pt 0.0000 0.6326 0.6326  2 Li 2.52, 1 Pt 2.58, 2 Au 2.71
Pt 0.3674 0.0000 0.3674  2 Li 2.52, 1 Pt 2.58, 2 Au 2.71
Pt 0.6326 0.0000 0.6326  2 Li 2.52, 1 Pt 2.58, 2 Au 2.71
Au 0.2936 0.5000 0.7936  2 Pt 2.71, 4 Li 2.81, 2 Au 2.83
Au 0.5000 0.2936 0.7936  2 Pt 2.71, 4 Li 2.81, 2 Au 2.83
Au 0.5000 0.7064 0.2064  2 Pt 2.71, 4 Li 2.81, 2 Au 2.83
Au 0.7064 0.5000 0.2064  2 Pt 2.71, 4 Li 2.81, 2 Au 2.83

=====

# 2
# Ho4Cu2Ag

A relaxed Ho4Cu2Ag crystal (GGA-PBE, Alexandria).

Results
Excess energy over the best structure of this formula in the dataset = 0.000 eV per formula unit
SG = P1
Uncorrected energy = -0.160 hartree per atom
M_tot = 0.0 μB/cell

a = 6.9682 Å, b = 7.2182 Å, c = 7.7944 Å
α = 105.81°, β = 106.33°, γ = 106.18°
Closest atoms and distances in Å follow each position.
Element x y z (fractional)
Ho 0.0000 0.0000 0.0000  4 Cu 2.86-3.06, 1 Ag 3.11
Ho 0.0044 0.5768 0.1733  3 Cu 2.86-2.95, 1 Ag 3.01
Ho 0.2812 0.3573 0.8537  3 Cu 2.79-2.83, 1 Ag 2.95
Ho 0.3482 0.0958 0.4462  2 Cu 2.79-3.00, 1 Ag 2.93
Ho 0.4439 0.7002 0.6536  3 Cu 2.74-2.96, 1 Ag 2.97
Ho 0.5955 0.1339 0.1169  1 Cu 2.70
Ho 0.8183 0.9437 0.4552  3 Cu 2.85-2.99, 2 Ag 3.16
Ho 0.8820 0.5194 0.6155  3 Cu 2.85-3.07, 1 Ag 3.05
Cu 0.0730 0.3093 0.3920  7 Ho 2.79-3.07
Cu 0.1956 0.9268 0.7168  6 Ho 2.74-3.00, 1 Cu 2.79
Cu 0.2758 0.7590 0.9995  2 Cu 2.68-2.79, 4 Ho 2.70-2.93
Cu 0.6566 0.7196 0.0486  1 Cu 2.68, 5 Ho 2.79-2.96
Ag 0.4604 0.4867 0.2777  5 Ho 2.95-3.25, 2 Cu 3.10-3.13
Ag 0.7279 0.2113 0.7956  6 Ho 2.93-3.16